## Pr6Al2C (PBE-GGA)

Data for crystalline Pr6Al2C at its relaxed geometry.

Cell and atoms, written as extended XYZ:
```
18
Lattice="7.136 0.000 -0.188 0.000 7.138 0.000 0.266 0.000 10.094" Properties=species:S:1:pos:R:3 pbc="T T T"
Pr 0.068 0.002 2.564
Pr 5.515 5.381 4.904
Pr 5.590 5.324 9.953
Pr 5.512 1.755 4.906
Pr 5.322 1.812 -0.139
Pr 3.632 3.571 2.389
Pr 7.333 7.136 7.342
Pr 1.887 1.757 5.002
Pr 1.811 1.814 -0.047
Pr 1.889 5.384 5.000
Pr 2.080 5.326 10.045
Pr 3.769 3.567 7.517
Al 7.335 3.566 7.382
Al 3.768 7.136 7.477
Al 3.634 0.003 2.429
Al 0.067 3.572 2.524
C 3.568 3.569 -0.094
C 0.133 0.000 5.047
```

DFT formation energy = -0.1685 eV per atom
Space group = Fm-3m, No. 225
Electronic total energy = -93.81 eV per cell
Magnetic moment = 1.195 μB/f.u.